# 1
Here is a relaxed structure of Tc2Pd from the Open Quantum Materials Database. Energies are from PBE-GGA.

Structure (POSCAR):
```
Tc2Pd
1.0
0.000 3.602 3.602
3.602 0.000 3.602
3.602 3.602 0.000
Tc Pd
4 2
Direct
0.000 0.000 0.000
0.000 0.000 0.500
0.000 0.500 0.000
0.500 0.000 0.000
0.375 0.375 0.375
0.625 0.625 0.625
```

## Properties
As for the formation energy: 0.3458 eV per atom. As for the space-group type: Fd-3m. The energy above the most stable polymorph in this dataset comes out at 0 meV/atom. As for the size of the total moment: 0.01 μB/cell.

# 2
Here is a relaxed structure of TaFeP from the Open Quantum Materials Database. Energies are from PBE-GGA.

Structure (POSCAR):
```
TaFeP
1.0
4.375 0.000 0.000
-2.188 3.789 0.000
0.000 0.000 5.052
Ta Fe P
2 2 2
Direct
0.333 0.667 0.250
0.667 0.333 0.750
0.000 0.000 0.000
0.000 0.000 0.500
0.333 0.667 0.750
0.667 0.333 0.250
```

## Properties
As for the space-group type: P6_3/mmc. As for the size of the total moment: 4.59 μB/cell. The total energy comes out at -8.712 eV/atom.

# 3
Here is a relaxed structure of La2NiGe3 from the Open Quantum Materials Database. Energies are from PBE-GGA.

Structure (POSCAR):
```
La2NiGe3
1.0
8.425 0.000 0.000
-4.213 7.296 0.000
0.000 0.000 8.701
La Ni Ge
8 4 12
Direct
0.000 0.000 0.250
0.000 0.000 0.750
0.001 0.501 0.250
0.499 0.501 0.250
0.499 0.999 0.250
0.501 0.001 0.750
0.501 0.499 0.750
0.999 0.499 0.750
0.333 0.667 0.506
0.333 0.667 0.994
0.667 0.333 0.006
0.667 0.333 0.494
0.173 0.346 0.001
0.173 0.346 0.499
0.173 0.827 0.001
0.173 0.827 0.499
0.346 0.173 0.501
0.346 0.173 0.999
0.654 0.827 0.001
0.654 0.827 0.499
0.827 0.173 0.501
0.827 0.173 0.999
0.827 0.654 0.501
0.827 0.654 0.999
```

## Properties
As for the space-group type: P6_3/mmc. As for the size of the total moment: 0.01 μB/cell. The total energy comes out at -5.695 eV/atom.

# 4
Here is a relaxed structure of Ho2Lu3Al3 from the Open Quantum Materials Database. Energies are from PBE-GGA.

Structure (POSCAR):
```
Ho2Lu3Al3
1.0
5.297 0.000 0.000
0.000 7.134 0.000
0.000 0.000 10.568
Ho Lu Al
4 6 6
Direct
0.000 0.000 0.000
0.000 0.500 0.500
0.500 0.000 0.382
0.500 0.500 0.882
0.000 0.238 0.255
0.000 0.262 0.755
0.000 0.738 0.755
0.000 0.762 0.255
0.500 0.000 0.804
0.500 0.500 0.304
0.000 0.000 0.527
0.000 0.500 0.027
0.500 0.187 0.098
0.500 0.313 0.598
0.500 0.687 0.598
0.500 0.813 0.098
```

## Properties
As for the space-group type: Amm2. The energy above the most stable polymorph in this dataset comes out at 122 meV/atom. As for the size of the total moment: 0.05 μB/cell.

# 5
Here is a relaxed structure of NpTlGa from the Open Quantum Materials Database. Energies are from PBE-GGA.

Structure (POSCAR):
```
NpTlGa
1.0
6.808 0.000 0.000
0.000 6.808 0.000
0.000 0.000 6.808
Np Tl Ga
4 4 4
Direct
0.000 0.000 0.000
0.000 0.500 0.500
0.500 0.000 0.500
0.500 0.500 0.000
0.000 0.000 0.500
0.000 0.500 0.000
0.500 0.000 0.000
0.500 0.500 0.500
0.250 0.250 0.250
0.250 0.750 0.750
0.750 0.250 0.750
0.750 0.750 0.250
```

## Properties
As for the space-group type: F-43m. The energy above the most stable polymorph in this dataset comes out at 0 meV/atom. As for the size of the total moment: 19.37 μB/cell.

# 6
Here is a relaxed structure of IrPbO4 from the Open Quantum Materials Database. Energies are from PBE-GGA.

Structure (POSCAR):
```
IrPbO4
1.0
-2.707 2.707 5.872
2.707 -2.707 5.872
2.707 2.707 -5.872
Ir Pb O
2 2 8
Direct
0.375 0.125 0.250
0.625 0.875 0.750
0.125 0.375 0.750
0.875 0.625 0.250
0.138 0.296 0.340
0.204 0.044 0.842
0.298 0.638 0.342
0.456 0.798 0.160
0.544 0.202 0.840
0.702 0.362 0.658
0.796 0.956 0.158
0.862 0.704 0.660
```

## Properties
As for the space-group type: I4_1/a. The energy above the most stable polymorph in this dataset comes out at 118 meV/atom. As for the size of the total moment: 0.00 μB/cell.

# 7
Here is a relaxed structure of TaBiW2 from the Open Quantum Materials Database. Energies are from PBE-GGA.

Structure (POSCAR):
```
TaBiW2
1.0
6.680 0.000 0.000
0.000 6.680 0.000
0.000 0.000 6.680
Ta Bi W
4 4 8
Direct
0.000 0.000 0.000
0.000 0.500 0.500
0.500 0.000 0.500
0.500 0.500 0.000
0.250 0.250 0.750
0.250 0.750 0.250
0.750 0.250 0.250
0.750 0.750 0.750
0.000 0.000 0.500
0.000 0.500 0.000
0.250 0.250 0.250
0.250 0.750 0.750
0.500 0.000 0.000
0.500 0.500 0.500
0.750 0.250 0.750
0.750 0.750 0.250
```

## Properties
As for the space-group type: F-43m. As for the size of the total moment: 0.01 μB/cell. The total energy comes out at -9.632 eV/atom.

# 8
Here is a relaxed structure of HgB2C8N8 from the Open Quantum Materials Database. Energies are from PBE-GGA.

Structure (POSCAR):
```
HgB2C8N8
1.0
7.828 0.000 0.000
-3.914 6.780 0.000
0.000 0.000 5.903
Hg B C N
1 2 8 8
Direct
0.000 0.000 0.000
0.333 0.667 0.626
0.667 0.333 0.374
0.224 0.448 0.714
0.224 0.776 0.714
0.333 0.667 0.359
0.448 0.224 0.286
0.552 0.776 0.714
0.667 0.333 0.641
0.776 0.224 0.286
0.776 0.552 0.286
0.142 0.284 0.770
0.142 0.858 0.770
0.284 0.142 0.230
0.333 0.667 0.161
0.667 0.333 0.839
0.716 0.858 0.770
0.858 0.142 0.230
0.858 0.716 0.230
```

## Properties
As for the space-group type: P-3m1. The total energy comes out at -7.740 eV/atom.

# 9
Here is a relaxed structure of Zr2Sc2BiAs from the Open Quantum Materials Database. Energies are from PBE-GGA.

Structure (POSCAR):
```
Zr2Sc2BiAs
1.0
4.105 0.000 0.000
0.000 4.105 0.000
0.000 0.000 15.792
Zr Sc Bi As
4 4 2 2
Direct
0.000 0.500 0.000
0.000 0.500 0.500
0.500 0.000 0.000
0.500 0.000 0.500
0.000 0.000 0.192
0.000 0.000 0.837
0.500 0.500 0.337
0.500 0.500 0.692
0.000 0.000 0.649
0.500 0.500 0.149
0.000 0.000 0.368
0.500 0.500 0.868
```

## Properties
As for the space-group type: I4mm. As for the size of the total moment: 0.09 μB/cell. The total energy comes out at -7.100 eV/atom.

# 10
Here is a relaxed structure of Gd3Mg3CdPd2 from the Open Quantum Materials Database. Energies are from PBE-GGA.

Structure (POSCAR):
```
Gd3Mg3CdPd2
1.0
7.612 0.000 0.000
-3.806 6.592 0.000
0.000 0.000 4.159
Gd Mg Cd Pd
3 3 1 2
Direct
0.000 0.421 0.000
0.421 0.000 0.000
0.579 0.579 0.000
0.000 0.744 0.500
0.256 0.256 0.500
0.744 0.000 0.500
0.000 0.000 0.000
0.333 0.667 0.500
0.667 0.333 0.500
```

## Properties
As for the space-group type: P-62m. As for the size of the total moment: 0.01 μB/cell. The total energy comes out at -3.834 eV/atom.

# 11
Here is a relaxed structure of Y2InAg from the Open Quantum Materials Database. Energies are from PBE-GGA.

Structure (POSCAR):
```
Y2InAg
1.0
3.643 0.000 0.000
0.000 3.643 0.000
0.000 0.000 7.635
Y In Ag
2 1 1
Direct
0.000 0.000 0.237
0.000 0.000 0.763
0.500 0.500 0.500
0.500 0.500 0.000
```

## Properties
As for the space-group type: P4/mmm. As for the size of the total moment: 0.00 μB/cell. The total energy comes out at -5.053 eV/atom.

# 12
Here is a relaxed structure of LiHg3PtO4 from the Open Quantum Materials Database. Energies are from PBE-GGA.

Structure (POSCAR):
```
LiHg3PtO4
1.0
5.307 0.000 0.000
0.000 5.307 0.000
0.000 0.000 5.307
Li Hg Pt O
1 3 1 4
Direct
0.000 0.000 0.000
0.000 0.500 0.500
0.500 0.000 0.500
0.500 0.500 0.000
0.500 0.500 0.500
0.223 0.223 0.223
0.223 0.777 0.777
0.777 0.223 0.777
0.777 0.777 0.223
```

## Properties
As for the space-group type: P-43m. As for the size of the total moment: 1.19 μB/cell. The total energy comes out at -3.182 eV/atom.

# 13
Here is a relaxed structure of AgTePbF from the Open Quantum Materials Database. Energies are from PBE-GGA.

Structure (POSCAR):
```
AgTePbF
1.0
6.069 0.000 0.000
0.000 6.080 0.000
0.000 0.000 9.581
Ag Te Pb F
4 4 4 4
Direct
0.250 0.000 0.000
0.250 0.500 0.000
0.750 0.000 0.000
0.750 0.500 0.000
0.000 0.250 0.202
0.000 0.750 0.798
0.500 0.250 0.798
0.500 0.750 0.202
0.000 0.250 0.649
0.000 0.750 0.351
0.500 0.250 0.351
0.500 0.750 0.649
0.250 0.000 0.500
0.250 0.500 0.500
0.750 0.000 0.500
0.750 0.500 0.500
```

## Properties
As for the space-group type: Cmme. The energy above the most stable polymorph in this dataset comes out at 8 meV/atom.

# 14
Here is a relaxed structure of ErAsN2O from the Open Quantum Materials Database. Energies are from PBE-GGA.

Structure (POSCAR):
```
ErAsN2O
1.0
5.167 0.000 0.000
-2.575 4.745 0.000
-2.098 -1.635 4.923
Er As N O
2 2 4 2
Direct
0.000 0.000 0.000
0.448 0.725 0.218
0.067 0.586 0.585
0.419 0.212 0.648
0.190 0.388 0.408
0.483 0.927 0.830
0.887 0.531 0.827
0.969 0.833 0.414
0.342 0.359 0.909
0.505 0.144 0.356
```

## Properties
As for the space-group type: P1. As for the size of the total moment: 0.00 μB/cell. The total energy comes out at -7.057 eV/atom.

# 15
Here is a relaxed structure of Tb2Sn5 from the Open Quantum Materials Database. Energies are from PBE-GGA.

Structure (POSCAR):
```
Tb2Sn5
1.0
4.370 0.000 0.000
0.000 4.449 0.000
0.000 0.000 19.155
Tb Sn
4 10
Direct
0.250 0.250 0.129
0.250 0.750 0.700
0.750 0.250 0.300
0.750 0.750 0.871
0.250 0.250 0.424
0.250 0.250 0.577
0.250 0.250 0.843
0.250 0.750 0.001
0.250 0.750 0.265
0.750 0.250 0.735
0.750 0.250 0.999
0.750 0.750 0.157
0.750 0.750 0.423
0.750 0.750 0.576
```

## Properties
As for the space-group type: Pmmn. As for the size of the total moment: 0.01 μB/cell. The total energy comes out at -4.711 eV/atom.

# 16
Here is a relaxed structure of Ag2PbBr2 from the Open Quantum Materials Database. Energies are from PBE-GGA.

Structure (POSCAR):
```
Ag2PbBr2
1.0
3.845 0.000 0.000
-1.923 3.330 0.000
0.000 0.000 19.955
Ag Pb Br
4 2 4
Direct
0.333 0.667 0.042
0.333 0.667 0.458
0.667 0.333 0.542
0.667 0.333 0.958
0.000 0.000 0.250
0.000 0.000 0.750
0.333 0.667 0.635
0.333 0.667 0.865
0.667 0.333 0.135
0.667 0.333 0.365
```

## Properties
As for the space-group type: P6_3/mmc. The total energy comes out at -2.704 eV/atom.

# 17
Here is a relaxed structure of KRbPt from the Open Quantum Materials Database. Energies are from PBE-GGA.

Structure (POSCAR):
```
KRbPt
1.0
7.800 0.000 0.000
0.000 7.800 0.000
0.000 0.000 7.800
K Rb Pt
4 4 4
Direct
0.000 0.000 0.000
0.000 0.500 0.500
0.500 0.000 0.500
0.500 0.500 0.000
0.000 0.000 0.500
0.000 0.500 0.000
0.500 0.000 0.000
0.500 0.500 0.500
0.250 0.250 0.250
0.250 0.750 0.750
0.750 0.250 0.750
0.750 0.750 0.250
```

## Properties
As for the space-group type: F-43m. The energy above the most stable polymorph in this dataset comes out at 0 meV/atom. As for the size of the total moment: 0.00 μB/cell.

# 18
Here is a relaxed structure of RbTe2MoAuS from the Open Quantum Materials Database. Energies are from PBE-GGA.

Structure (POSCAR):
```
RbTe2MoAuS
1.0
2.047 -8.522 0.000
2.047 8.522 0.000
0.000 0.000 10.070
Rb Te Mo Au S
2 4 2 2 2
Direct
0.235 0.765 0.750
0.765 0.235 0.250
0.384 0.616 0.011
0.384 0.616 0.489
0.616 0.384 0.511
0.616 0.384 0.989
0.000 0.000 0.000
0.000 0.000 0.500
0.453 0.547 0.250
0.547 0.453 0.750
0.042 0.958 0.250
0.958 0.042 0.750
```

## Properties
As for the space-group type: Cmcm. As for the size of the total moment: 4.14 μB/cell. The total energy comes out at -4.453 eV/atom.

# 19
Here is a relaxed structure of LiMgZnFe from the Open Quantum Materials Database. Energies are from PBE-GGA.

Structure (POSCAR):
```
LiMgZnFe
1.0
6.145 0.000 0.000
0.000 6.145 0.000
0.000 0.000 6.145
Li Mg Zn Fe
4 4 4 4
Direct
0.000 0.000 0.000
0.000 0.500 0.500
0.500 0.000 0.500
0.500 0.500 0.000
0.250 0.250 0.250
0.250 0.750 0.750
0.750 0.250 0.750
0.750 0.750 0.250
0.000 0.000 0.500
0.000 0.500 0.000
0.500 0.000 0.000
0.500 0.500 0.500
0.250 0.250 0.750
0.250 0.750 0.250
0.750 0.250 0.250
0.750 0.750 0.750
```

## Properties
As for the space-group type: F-43m. The energy above the most stable polymorph in this dataset comes out at 13 meV/atom. As for the size of the total moment: 10.47 μB/cell.

# 20
Here is a relaxed structure of ScTl2Fe from the Open Quantum Materials Database. Energies are from PBE-GGA.

Structure (POSCAR):
```
ScTl2Fe
1.0
6.998 0.000 0.000
0.000 6.998 0.000
0.000 0.000 6.998
Sc Tl Fe
4 8 4
Direct
0.000 0.000 0.000
0.000 0.500 0.500
0.500 0.000 0.500
0.500 0.500 0.000
0.000 0.000 0.500
0.000 0.500 0.000
0.250 0.250 0.750
0.250 0.750 0.250
0.500 0.000 0.000
0.500 0.500 0.500
0.750 0.250 0.250
0.750 0.750 0.750
0.250 0.250 0.250
0.250 0.750 0.750
0.750 0.250 0.750
0.750 0.750 0.250
```

## Properties
As for the space-group type: F-43m. As for the size of the total moment: 8.19 μB/cell. The total energy comes out at -4.492 eV/atom.

# 21
Here is a relaxed structure of CuRePbW from the Open Quantum Materials Database. Energies are from PBE-GGA.

Structure (POSCAR):
```
CuRePbW
1.0
6.436 0.000 0.000
0.000 6.436 0.000
0.000 0.000 6.436
Cu Re Pb W
4 4 4 4
Direct
0.000 0.000 0.000
0.000 0.500 0.500
0.500 0.000 0.500
0.500 0.500 0.000
0.000 0.000 0.500
0.000 0.500 0.000
0.500 0.000 0.000
0.500 0.500 0.500
0.250 0.250 0.750
0.250 0.750 0.250
0.750 0.250 0.250
0.750 0.750 0.750
0.250 0.250 0.250
0.250 0.750 0.750
0.750 0.250 0.750
0.750 0.750 0.250
```

## Properties
As for the space-group type: F-43m. The energy above the most stable polymorph in this dataset comes out at 0 meV/atom. As for the size of the total moment: 0.00 μB/cell.

# 22
Here is a relaxed structure of GdEr2Cd from the Open Quantum Materials Database. Energies are from PBE-GGA.

Structure (POSCAR):
```
GdEr2Cd
1.0
5.556 0.000 0.000
0.000 11.314 0.000
0.000 0.000 7.216
Gd Er Cd
4 8 4
Direct
0.250 0.136 0.000
0.250 0.636 0.500
0.750 0.364 0.500
0.750 0.864 0.000
0.250 0.154 0.511
0.250 0.406 0.770
0.250 0.654 0.011
0.250 0.906 0.270
0.750 0.094 0.270
0.750 0.346 0.011
0.750 0.594 0.770
0.750 0.846 0.511
0.250 0.391 0.247
0.250 0.891 0.747
0.750 0.109 0.747
0.750 0.609 0.247
```

## Properties
As for the formation energy: -0.0785 eV per atom. As for the space-group type: Ama2. The energy above the most stable polymorph in this dataset comes out at 29 meV/atom. As for the size of the total moment: 0.01 μB/cell.

# 23
Here is a relaxed structure of PrIrPb2O6 from the Open Quantum Materials Database. Energies are from PBE-GGA.

Structure (POSCAR):
```
PrIrPb2O6
1.0
5.802 0.000 0.000
-2.870 5.104 0.000
-2.850 -1.705 4.996
Pr Ir Pb O
1 1 2 6
Direct
0.000 0.000 0.000
0.000 0.500 0.500
0.478 0.248 0.717
0.522 0.752 0.283
0.021 0.799 0.340
0.089 0.719 0.816
0.460 0.667 0.667
0.540 0.333 0.333
0.911 0.281 0.184
0.979 0.201 0.660
```

## Properties
As for the space-group type: P-1. As for the size of the total moment: 1.35 μB/cell. The total energy comes out at -6.565 eV/atom.

# 24
Here is a relaxed structure of YBeBiOs from the Open Quantum Materials Database. Energies are from PBE-GGA.

Structure (POSCAR):
```
YBeBiOs
1.0
6.800 0.000 0.000
0.000 6.800 0.000
0.000 0.000 6.800
Y Be Bi Os
4 4 4 4
Direct
0.000 0.000 0.000
0.000 0.500 0.500
0.500 0.000 0.500
0.500 0.500 0.000
0.000 0.000 0.500
0.000 0.500 0.000
0.500 0.000 0.000
0.500 0.500 0.500
0.250 0.250 0.750
0.250 0.750 0.250
0.750 0.250 0.250
0.750 0.750 0.750
0.250 0.250 0.250
0.250 0.750 0.750
0.750 0.250 0.750
0.750 0.750 0.250
```

## Properties
As for the space-group type: F-43m. The energy above the most stable polymorph in this dataset comes out at 231 meV/atom. As for the size of the total moment: 0.01 μB/cell.